Entry 1:
This record from the Alexandria database describes crystalline Al2H2S at its relaxed geometry. The functional is PBE. Values from VASP.

Geometry as Quantum ESPRESSO input:
```
&SYSTEM
  ibrav = 0, nat = 10, ntyp = 3
/
ATOMIC_SPECIES
H 1.01 H.upf
Al 26.98 Al.upf
S 32.06 S.upf
CELL_PARAMETERS angstrom
-0.751 1.794 -5.092
3.826 -3.449 -1.780
-5.489 -3.136 2.622
ATOMIC_POSITIONS crystal
H 0.563 0.361 0.721
H 0.611 0.908 0.221
H 0.158 0.361 0.721
H 0.611 0.313 0.221
Al 0.476 0.204 0.408
Al 0.454 0.682 0.908
Al 0.454 0.226 0.908
Al 0.932 0.204 0.408
S 0.052 0.052 0.104
S 0.302 0.802 0.604
```

Properties
E in eV/atom: -3.65
Calculated density in g/cm³: 1.7
Space-group type: No. 109


Entry 2:
This record from the Alexandria database describes crystalline Er3ZnBi at its relaxed geometry. The functional is PBE. Values from VASP.

Geometry as Quantum ESPRESSO input:
```
&SYSTEM
  ibrav = 0, nat = 10, ntyp = 3
/
ATOMIC_SPECIES
Er 167.26 Er.upf
Zn 65.41 Zn.upf
Bi 208.98 Bi.upf
CELL_PARAMETERS angstrom
-2.911 -2.990 -0.382
2.072 -2.811 6.217
-6.277 5.524 4.589
ATOMIC_POSITIONS crystal
Er 0.000 0.000 0.906
Er 0.500 0.262 0.662
Er 0.500 0.738 0.662
Er 0.500 0.500 0.094
Er 0.000 0.238 0.338
Er 0.000 0.762 0.338
Zn 0.500 0.500 0.405
Zn 0.000 0.000 0.595
Bi 0.500 0.000 0.150
Bi 0.000 0.500 0.850
```

Properties
ΔH_f (0 K) in eV/f.u.: -1.65
Calculated density in g/cm³: 9.0
Space-group type: No. 59


Entry 3:
This record from the Alexandria database describes crystalline ErSc5Al3 at its relaxed geometry. The functional is PBE. Values from VASP.

Geometry as Quantum ESPRESSO input:
```
&SYSTEM
  ibrav = 0, nat = 18, ntyp = 3
/
ATOMIC_SPECIES
Sc 44.96 Sc.upf
Al 26.98 Al.upf
Er 167.26 Er.upf
CELL_PARAMETERS angstrom
-1.644 -3.144 5.126
7.786 -3.539 0.326
-1.515 7.389 4.045
ATOMIC_POSITIONS crystal
Sc 0.250 0.338 0.338
Sc 0.750 0.338 0.000
Sc 0.750 0.662 0.662
Sc 0.500 0.333 0.667
Sc 0.000 0.333 0.667
Sc 0.000 0.667 0.333
Sc 0.500 0.667 0.333
Sc 0.250 0.662 0.000
Sc 0.250 0.000 0.662
Sc 0.750 0.000 0.338
Al 0.250 0.665 0.665
Al 0.250 0.335 0.000
Al 0.750 0.000 0.665
Al 0.750 0.335 0.335
Al 0.750 0.665 0.000
Al 0.250 0.000 0.335
Er 0.000 0.000 0.000
Er 0.500 0.000 0.000
```

Properties
ΔH_f (0 K) in eV/f.u.: -2.98
Calculated density in g/cm³: 4.0
Space-group type: No. 193